The following is a DFT calculation (meta-GGA SCAN) of a PBEsol-optimized structure of CsHfMgPt2.

The formation energy from the elements comes out at 0.28 eV/atom.

The structure in POSCAR format:
```
CsHfMgPt2
1.0
-1.6269 -3.8724 -2.7872
4.5649 -0.4068 -2.0994
1.5627 -3.6049 4.0964
Pt Cs Hf Mg
2 1 1 1
direct
0.5000 0.0000 0.0000 Pt
0.0000 0.5000 0.0000 Pt
0.5000 0.5000 0.5000 Cs
0.0000 0.0000 0.0000 Hf
0.0000 0.0000 0.5000 Mg
```